Computed, not measured: crystalline PrTmBi3 at its relaxed geometry at the PBE level of DFT.

Values from the calculation:
energy of formation	-3.02	eV per formula unit

Cell: 14.2160 6.4594 6.8886 Å, 90.00 90.00 90.00°
Space group Pbcm (No. 57)
Inequivalent atoms, fractional coordinates:
Pr: 0.1782 0.0144 0.2500 x4
Tm: 0.4017 0.7500 0.0000 x4
Bi: 0.0035 0.7500 0.0000 x4
Bi: 0.2458 0.5065 0.2500 x4
Bi: 0.4182 0.1558 0.2500 x4

=====

Computed, not measured: crystalline Sc2PaAs at its relaxed geometry at the PBE level of DFT.

Values from the calculation:
energy of formation	-1.57	eV per formula unit

Cell: 3.5120 3.5120 25.8141 Å, 90.00 90.00 120.00°
Space group R-3m (No. 166, hexagonal axes)
Inequivalent atoms, fractional coordinates:
Sc: 0.0000 0.0000 0.2329 x6
Pa: 0.0000 0.0000 0.0000 x3
As: 0.0000 0.0000 0.5000 x3

=====

Computed, not measured: crystalline Sb2Br at its relaxed geometry at the PBE level of DFT.

Values from the calculation:
energy above the most stable polymorph in this dataset	103	meV per atom

Cell: 15.6416 4.1747 6.9047 Å, 90.00 112.02 90.00°
Space group C2/m (No. 12)
Inequivalent atoms, fractional coordinates:
Sb: 0.1552 0.0000 0.3696 x4
Sb: 0.2074 0.5000 0.1424 x4
Br: 0.0586 0.5000 0.7841 x4

=====

Computed, not measured: crystalline AlIn3Re at its relaxed geometry at the PBE level of DFT.

Values from the calculation:
energy above the most stable polymorph in this dataset	789	meV per atom
energy of formation	7.07	eV per formula unit

Cell: 5.1888 5.1888 5.1888 Å, 90.00 90.00 90.00°
Space group Pm-3m (No. 221)
Inequivalent atoms, fractional coordinates:
Al: 0.0000 0.0000 0.0000 x1
In: 0.0000 0.0000 0.5000 x3
Re: 0.5000 0.5000 0.5000 x1

=====

Computed, not measured: crystalline Ce5Tl3Hg3 at its relaxed geometry at the PBE level of DFT.

Values from the calculation:
energy of formation	1.59	eV per formula unit

Cell: 10.5850 10.5850 3.3847 Å, 90.00 90.00 120.00°
Space group P-62m (No. 189)
Inequivalent atoms, fractional coordinates:
Ce: 0.0000 0.6537 0.0000 x3
Ce: 0.3333 0.6667 0.0000 x2
Tl: 0.0000 0.3966 0.5000 x3
Hg: 0.0000 0.1596 0.0000 x3

=====

Computed, not measured: crystalline Zr2SnH2 at its relaxed geometry at the PBE level of DFT.

Values from the calculation:
energy above the most stable polymorph in this dataset	661	meV per atom

Cell: 7.4994 7.4994 2.9947 Å, 90.00 90.00 90.00°
Space group P4/mbm (No. 127)
Inequivalent atoms, fractional coordinates:
Zr: 0.1353 0.3647 0.0000 x4
Sn: 0.0000 0.0000 0.0000 x2
H: 0.0914 0.5914 0.5000 x4

=====

| no. | final energy (eV per atom) |
| --- | --- |
| 1 | -4.78 |
| 2 | -7.09 |
| 3 | -3.39 |
| 4 | -3.47 |
| 5 | -3.28 |
| 6 | -5.40 |